NdAgH10C20N6O8: optimized geometry, PBE.

Calculated values
**Total energy**: -668.08 eV/cell

a b c (Å): 11.3643 11.3643 9.3479
angles (deg): 107.90 107.90 94.93
Fractional positions:
Nd  0.0935  0.9065  0.7500
Nd  0.9065  0.0935  0.2500
Ag  0.3597  0.6403  0.7500
Ag  0.6403  0.3597  0.2500
H  0.0633  0.4278  0.6237
H  0.1495  0.2560  0.9844
H  0.1726  0.6355  0.3755
H  0.1826  0.6623  0.1220
H  0.2560  0.1495  0.4844
H  0.3199  0.3319  0.7124
H  0.3319  0.3199  0.2124
H  0.3377  0.8174  0.3780
H  0.3645  0.8274  0.1245
H  0.4278  0.0633  0.1237
H  0.5722  0.9367  0.8763
H  0.6355  0.1726  0.8755
H  0.6623  0.1826  0.6220
H  0.6681  0.6801  0.7876
H  0.6801  0.6681  0.2876
H  0.7440  0.8505  0.5156
H  0.8174  0.3377  0.8780
H  0.8274  0.3645  0.6245
H  0.8505  0.7440  0.0156
H  0.9367  0.5722  0.3763
C  0.0784  0.1990  0.6666
C  0.0925  0.4370  0.7499
C  0.1026  0.3291  0.7925
C  0.1111  0.6751  0.8283
C  0.1195  0.5566  0.8692
C  0.1427  0.3413  0.9545
C  0.1606  0.5683  0.0314
C  0.1746  0.4611  0.0725
C  0.1990  0.0784  0.1666
C  0.2258  0.5605  0.3724
C  0.3072  0.3974  0.2918
C  0.3249  0.8889  0.6717
C  0.3291  0.1026  0.2925
C  0.3413  0.1427  0.4545
C  0.3974  0.3072  0.7918
C  0.4317  0.8394  0.4686
C  0.4370  0.0925  0.2499
C  0.4395  0.7742  0.1276
C  0.4434  0.8805  0.6308
C  0.4611  0.1746  0.5725
C  0.5389  0.8254  0.4275
C  0.5566  0.1195  0.3692
C  0.5605  0.2258  0.8724
C  0.5630  0.9075  0.7501
C  0.5683  0.1606  0.5314
C  0.6026  0.6928  0.2082
C  0.6587  0.8573  0.5455
C  0.6709  0.8974  0.7075
C  0.6751  0.1111  0.3283
C  0.6928  0.6026  0.7082
C  0.7742  0.4395  0.6276
C  0.8010  0.9216  0.8334
C  0.8254  0.5389  0.9275
C  0.8394  0.4317  0.9686
C  0.8573  0.6587  0.0455
C  0.8805  0.4434  0.1308
C  0.8889  0.3249  0.1717
C  0.8974  0.6709  0.2075
C  0.9075  0.5630  0.2501
C  0.9216  0.8010  0.3334
N  0.2298  0.4728  0.2372
N  0.2964  0.5383  0.4994
N  0.3481  0.4348  0.4492
N  0.4348  0.3481  0.9492
N  0.4617  0.7036  0.0006
N  0.4728  0.2298  0.7372
N  0.5272  0.7702  0.2628
N  0.5383  0.2964  0.9994
N  0.5652  0.6519  0.0508
N  0.6519  0.5652  0.5508
N  0.7036  0.4617  0.5006
N  0.7702  0.5272  0.7628
O  0.0547  0.1931  0.5226
O  0.0887  0.1063  0.7150
O  0.0952  0.6686  0.6840
O  0.1063  0.0887  0.2150
O  0.1225  0.7788  0.9395
O  0.1931  0.0547  0.0226
O  0.2212  0.8775  0.5605
O  0.3314  0.9048  0.8160
O  0.6686  0.0952  0.1840
O  0.7788  0.1225  0.4395
O  0.8069  0.9453  0.9774
O  0.8775  0.2212  0.0605
O  0.8937  0.9113  0.7850
O  0.9048  0.3314  0.3160
O  0.9113  0.8937  0.2850
O  0.9453  0.8069  0.4774